1.
Compound: BaCuSnPd3
Source: Alexandria via LeMat-Bulk
Functional: PBE
Structure: optimized geometry

Unit cell a=7.3991 b=6.0401 c=6.7447 alpha=116.60 beta=90.00 gamma=90.00
With the nearest neighbours (Å) after each atom.
Fractional positions:
Sn 0.2500 0.3843 0.7687  5 Pd 2.69-2.74
Sn 0.7500 0.6157 0.2313  5 Pd 2.69-2.74
Pd 0.0000 0.2579 0.0000  2 Cu 2.51, 2 Sn 2.74
Pd 0.7500 0.8390 0.6780  1 Cu 2.60, 1 Sn 2.69
Pd 0.0000 0.7421 0.0000  2 Cu 2.51, 2 Sn 2.74
Pd 0.5000 0.7421 0.0000  2 Cu 2.51, 2 Sn 2.74
Pd 0.5000 0.2579 0.0000  2 Cu 2.51, 2 Sn 2.74
Pd 0.2500 0.1610 0.3220  1 Cu 2.60, 1 Sn 2.69
Ba 0.2500 0.6976 0.3952  1 Cu 2.99, 2 Pd 3.05
Ba 0.7500 0.3024 0.6048  1 Cu 2.99, 2 Pd 3.05
Cu 0.2500 0.9456 0.8912  5 Pd 2.51-2.60
Cu 0.7500 0.0544 0.1088  5 Pd 2.51-2.60

space group = Cmcm
uncorrected energy = -4.63 eV/atom
energy of formation = -35 kJ/mol of atoms
crystal system = orthorhombic

=====

2.
Compound: Ba2CuSnPd6
Source: Alexandria via LeMat-Bulk
Functional: PBE
Structure: optimized geometry

Unit cell a=6.9773 b=7.0338 c=8.7516 alpha=51.03 beta=51.63 gamma=83.60
With the nearest neighbours (Å) after each atom.
Fractional positions:
Sn 0.0000 0.0000 0.0000  6 Pd 2.64-2.71
Pd 0.7604 0.7273 0.0053  1 Cu 2.59, 1 Sn 2.64, 3 Pd 2.72-2.78
Pd 0.2535 0.7483 0.8492  1 Cu 2.65, 1 Sn 2.71, 4 Pd 2.72-2.78
Pd 0.2395 0.2727 0.9947  1 Cu 2.59, 1 Sn 2.64, 3 Pd 2.72-2.78
Pd 0.2723 0.2405 0.4928  1 Cu 2.59, 1 Sn 2.64, 3 Pd 2.72-2.78
Pd 0.7465 0.2517 0.1508  1 Cu 2.65, 1 Sn 2.71, 4 Pd 2.72-2.78
Pd 0.7277 0.7595 0.5072  1 Cu 2.59, 1 Sn 2.64, 3 Pd 2.72-2.78
Cu 0.5000 0.5000 0.0000  6 Pd 2.59-2.65
Ba 0.7617 0.2385 0.5419  11 Pd 3.30-3.69, 2 Cu 3.64
Ba 0.2383 0.7615 0.4580  11 Pd 3.30-3.69, 2 Cu 3.64

space group = P-1
uncorrected energy = -4.76 eV/atom
energy of formation = -43 kJ/mol of atoms
crystal system = triclinic

=====

3.
Compound: Ba2SrCuPd
Source: Alexandria via LeMat-Bulk
Functional: PBE
Structure: optimized geometry

Unit cell a=6.8847 b=5.1243 c=6.8847 alpha=90.00 beta=90.00 gamma=90.00
With the nearest neighbours (Å) after each atom.
Fractional positions:
Cu 0.5000 0.5000 0.5000  8 Ba 4.29
Pd 0.0000 0.5000 0.0000  2 Sr 2.56
Sr 0.0000 0.0000 0.0000  2 Pd 2.56
Ba 0.0000 0.0000 0.5000  2 Sr 3.44
Ba 0.5000 0.0000 0.0000  2 Sr 3.44

space group = P4/mmm
uncorrected energy = -2.23 eV/atom
energy of formation = 71 kJ/mol of atoms
crystal system = tetragonal

=====

4.
Compound: Ba2CuTePd
Source: Alexandria via LeMat-Bulk
Functional: PBE
Structure: optimized geometry

Unit cell a=6.0605 b=6.0605 c=4.7913 alpha=90.00 beta=90.00 gamma=90.00
With the nearest neighbours (Å) after each atom.
Fractional positions:
Ba 0.0000 0.5000 0.0000  2 Pd 3.03
Ba 0.5000 0.0000 0.0000  2 Pd 3.03
Cu 0.0000 0.0000 0.5000  2 Pd 2.40
Te 0.5000 0.5000 0.5000  8 Ba 3.86, 4 Cu 4.29
Pd 0.0000 0.0000 0.0000  2 Cu 2.40

energy relative to the elements, uncorrected = -64.5 kJ per mole of atoms
space group = P4/mmm
uncorrected energy = -3.92 eV/atom
crystal system = tetragonal

=====

5.
Compound: Ba2TlCuPd
Source: Alexandria via LeMat-Bulk
Functional: PBE
Structure: optimized geometry

Unit cell a=6.1297 b=6.1297 c=4.8432 alpha=90.00 beta=90.00 gamma=90.00
With the nearest neighbours (Å) after each atom.
Fractional positions:
Pd 0.0000 0.0000 0.0000  2 Cu 2.42
Tl 0.5000 0.5000 0.5000  8 Ba 3.91, 4 Cu 4.33
Cu 0.0000 0.0000 0.5000  2 Pd 2.42
Ba 0.5000 0.0000 0.0000  2 Pd 3.06
Ba 0.0000 0.5000 0.0000  2 Pd 3.06

space group = P4/mmm
uncorrected energy = -3.23 eV/atom
energy of formation = -12 kJ/mol of atoms
crystal system = tetragonal

=====

6.
Compound: BaY2CuPd
Source: Alexandria via LeMat-Bulk
Functional: PBE
Structure: optimized geometry

Unit cell a=5.7022 b=4.9051 c=5.7022 alpha=90.00 beta=90.00 gamma=90.00
With the nearest neighbours (Å) after each atom.
Fractional positions:
Ba 0.0000 0.0000 0.0000  2 Cu 2.45
Pd 0.5000 0.5000 0.5000  8 Y 3.76, 4 Cu 4.03
Y 0.0000 0.0000 0.5000  2 Ba 2.85
Y 0.5000 0.0000 0.0000  2 Ba 2.85
Cu 0.0000 0.5000 0.0000  2 Ba 2.45

space group = P4/mmm
uncorrected energy = -3.48 eV/atom
energy of formation = 130 kJ/mol of atoms
crystal system = tetragonal

=====

7.
Compound: BaZn2CuPd
Source: Alexandria via LeMat-Bulk
Functional: PBE
Structure: optimized geometry

Unit cell a=4.8767 b=4.8767 c=5.0679 alpha=90.00 beta=90.00 gamma=90.00
With the nearest neighbours (Å) after each atom.
Fractional positions:
Pd 0.0000 0.0000 0.0000  4 Zn 2.44, 2 Cu 2.53
Cu 0.0000 0.0000 0.5000  2 Pd 2.53
Ba 0.5000 0.5000 0.5000  4 Cu 3.45, 8 Zn 3.52
Zn 0.5000 0.0000 0.0000  2 Pd 2.44
Zn 0.0000 0.5000 0.0000  2 Pd 2.44

space group = P4/mmm
uncorrected energy = -2.94 eV/atom
energy of formation = -19 kJ/mol of atoms
crystal system = tetragonal

=====

8.
Compound: BaPmCu10
Source: Alexandria via LeMat-Bulk
Functional: PBE
Structure: optimized geometry

Unit cell a=4.0257 b=5.3242 c=9.1678 alpha=90.00 beta=90.00 gamma=90.00
With the nearest neighbours (Å) after each atom.
Fractional positions:
Cu 0.0000 0.5000 0.8213  6 Cu 2.52-2.60
Cu 0.5000 0.7408 0.7347  8 Cu 2.52-2.76
Cu 0.5000 0.2592 0.7347  8 Cu 2.52-2.76
Cu 0.0000 0.0000 0.6585  6 Cu 2.48-2.54
Cu 0.5000 0.2592 0.2653  8 Cu 2.52-2.76
Cu 0.0000 0.5000 0.1787  6 Cu 2.52-2.60
Cu 0.5000 0.5000 0.0000  8 Cu 2.60-2.75
Cu 0.0000 0.0000 0.3415  6 Cu 2.48-2.54
Cu 0.5000 0.0000 0.5000  8 Cu 2.48-2.56
Cu 0.5000 0.7408 0.2653  8 Cu 2.52-2.76
Ba 0.0000 0.0000 0.0000  18 Cu 3.13-3.45
Pm 0.0000 0.5000 0.5000  14 Cu 2.95-3.21

space group = Pmmm
uncorrected energy = -4.04 eV/atom
energy of formation = -7 kJ/mol of atoms
crystal system = orthorhombic

=====

9.
Compound: BaPm3Cu
Source: Alexandria via LeMat-Bulk
Functional: PBE
Structure: optimized geometry

Unit cell a=5.6869 b=5.6869 c=5.6869 alpha=90.00 beta=90.00 gamma=90.00
With the nearest neighbours (Å) after each atom.
Fractional positions:
Ba 0.5000 0.5000 0.5000  12 Pm 4.02
Cu 0.0000 0.0000 0.0000  6 Pm 2.84
Pm 0.5000 0.0000 0.0000  2 Cu 2.84
Pm 0.0000 0.5000 0.0000  2 Cu 2.84
Pm 0.0000 0.0000 0.5000  2 Cu 2.84

space group = Pm-3m
uncorrected energy = -3.93 eV/atom
energy of formation = 12 kJ/mol of atoms
crystal system = cubic

=====

10.
Compound: BaPmCu
Source: Alexandria via LeMat-Bulk
Functional: PBE
Structure: optimized geometry

Unit cell a=7.8730 b=8.4795 c=7.8730 alpha=70.81 beta=73.03 gamma=109.19
With the nearest neighbours (Å) after each atom.
Fractional positions:
Ba 0.3595 0.7932 0.3718  3 Cu 3.24-3.35
Ba 0.8350 0.2068 0.4337  3 Cu 3.24-3.35
Ba 0.8163 0.7068 0.4150  3 Cu 3.24-3.35
Ba 0.8782 0.2932 0.8905  3 Cu 3.24-3.35
Pm 0.3480 0.2516 0.1052  3 Cu 2.85-3.02
Pm 0.1448 0.7516 0.9020  3 Cu 2.85-3.02
Pm 0.6433 0.7484 0.9036  3 Cu 2.85-3.02
Pm 0.3464 0.2484 0.6067  3 Cu 2.85-3.02
Cu 0.6768 0.4590 0.1813  3 Pm 2.85-3.02
Cu 0.3597 0.5410 0.7822  3 Pm 2.85-3.02
Cu 0.4678 0.0410 0.8903  3 Pm 2.85-3.02
Cu 0.0687 0.9590 0.5732  3 Pm 2.85-3.02

space group = Fdd2
energy above the most stable polymorph in this dataset = 59 meV/atom
uncorrected energy = -3.49 eV/atom
energy of formation = 9 kJ/mol of atoms
crystal system = orthorhombic

=====

11.
Compound: BaPmCu
Source: Alexandria via LeMat-Bulk
Functional: PBE
Structure: optimized geometry

Unit cell a=3.8031 b=3.8031 c=7.3725 alpha=104.95 beta=104.95 gamma=90.00
With the nearest neighbours (Å) after each atom.
Fractional positions:
Ba 0.0255 0.0255 0.0510  4 Cu 3.51, 1 Pm 3.56, 4 Ba 3.80
Cu 0.6898 0.6898 0.3796  4 Pm 2.99
Pm 0.2847 0.2847 0.5694  4 Cu 2.99

space group = I4mm
energy above the most stable polymorph in this dataset = 0 meV/atom
uncorrected energy = -3.55 eV/atom
energy of formation = 3 kJ/mol of atoms
crystal system = tetragonal

=====

12.
Compound: Ba2PmCu2S4
Source: Alexandria via LeMat-Bulk
Functional: PBE
Structure: optimized geometry

Unit cell a=4.0093 b=7.4061 c=7.7545 alpha=109.42 beta=104.98 gamma=90.00
With the nearest neighbours (Å) after each atom.
Fractional positions:
S 0.5271 0.7526 0.0543  1 Cu 2.37
S 0.7972 0.8166 0.5944  3 Cu 2.40-2.52
S 0.4729 0.2474 0.9457  1 Cu 2.37
S 0.2028 0.1834 0.4056  3 Cu 2.40-2.52
Ba 0.8654 0.4323 0.7308  7 S 3.16-3.40, 1 Cu 3.47
Ba 0.1346 0.5677 0.2692  7 S 3.16-3.40, 1 Cu 3.47
Pm 0.0000 0.0000 0.0000  6 S 2.84-2.87
Cu 0.6802 0.9936 0.3604  4 S 2.37-2.52
Cu 0.3198 0.0064 0.6396  4 S 2.37-2.52

energy relative to the elements, uncorrected = -131.5 kJ per mole of atoms
space group = C2/m
uncorrected energy = -5.06 eV/atom
crystal system = monoclinic